Entry from Alexandria: crystalline Sr2AgF6 at its relaxed geometry (PBE).

Distance to the lowest polymorph of the same formula ... 0.020 eV per atom
DOS(E_F) ... 0.18 states/eV/atom
Electronic total energy ... -4.86 eV/atom
Formation energy from raw total energies ... -2.9182 eV per atom

POSCAR file:
```
Sr2AgF6
1.0
-4.409 2.982 -0.575
-1.496 -3.015 -4.164
-5.716 -7.070 7.172
F Ag Sr
12 2 4
direct
0.186 0.814 0.164 F
0.686 0.686 0.664 F
0.782 0.218 0.500 F
0.686 0.686 0.336 F
0.814 0.186 0.164 F
0.186 0.814 0.836 F
0.718 0.718 0.000 F
0.314 0.314 0.664 F
0.314 0.314 0.336 F
0.218 0.782 0.500 F
0.282 0.282 0.000 F
0.814 0.186 0.836 F
0.000 0.000 0.000 Ag
0.500 0.500 0.500 Ag
0.500 0.500 0.833 Sr
0.500 0.500 0.167 Sr
0.000 0.000 0.333 Sr
0.000 0.000 0.667 Sr
```